Crystalline Ho6SbC2S3 at its relaxed geometry, computed with PBE-GGA.

Lattice parameters (Å, degrees): 17.016 3.832 7.926 90.00 102.54 90.00
Space group C2/m (No. 12)
Inequivalent atoms, fractional coordinates:
Ho (0.023, 0.000, 0.280) (multiplicity 4)
Ho (0.177, 0.500, 0.128) (multiplicity 4)
Ho (0.178, 0.500, 0.568) (multiplicity 4)
Sb (0.000, 0.500, 0.000) (multiplicity 2)
C (0.172, 0.000, 0.343) (multiplicity 4)
S (0.000, 0.500, 0.500) (multiplicity 2)
S (0.163, 0.000, 0.832) (multiplicity 4)

Properties
As for the energy: -6.500 eV per atom. Its uncorrected formation energy is -15.58 eV per formula unit. The crystal system is monoclinic. As for the density: 8.11 g cm⁻³.